#one
This record from Alexandria via LeMat-Bulk describes crystalline BeHgRh at its relaxed geometry. The functional is GGA-PBE.

Summary:
Space group: F-43m

a = 4.0049 Å, b = 4.0049 Å, c = 4.0049 Å
α = 60.00°, β = 60.00°, γ = 60.00°
Last column: nearest neighbours and their distance in Å.
Positions (direct):
Be (0.7500, 0.7500, 0.7500)  4 Rh 2.45, 4 Hg 2.45
Rh (0.5000, 0.5000, 0.5000)  4 Be 2.45
Hg (0.0000, 0.0000, 0.0000)  4 Be 2.45

***

#two
This record from Alexandria via LeMat-Bulk describes crystalline BeHgRh at its relaxed geometry. The functional is GGA-PBE.

Summary:
Space group: P3m1

a = 2.9429 Å, b = 2.9429 Å, c = 6.0841 Å
α = 90.00°, β = 90.00°, γ = 120.00°
Last column: nearest neighbours and their distance in Å.
Positions (direct):
Be (0.0000, 0.0000, 0.9623)  3 Rh 2.26
Rh (0.3333, 0.6667, 0.7182)  3 Be 2.26
Hg (0.6667, 0.3333, 0.3195)  3 Be 2.76, 6 Hg 2.94, 3 Rh 2.96

***

Calculated relative energies: #one 0.0; #two 9.8, given in kJ/mol of atoms

***

#one
This record from Alexandria via LeMat-Bulk describes crystalline Be2HgRh2 at its relaxed geometry. The functional is GGA-PBE.

Summary:
Space group: I4/mmm

a = 4.1278 Å, b = 4.1278 Å, c = 5.0883 Å
α = 66.07°, β = 66.07°, γ = 90.00°
Last column: nearest neighbours and their distance in Å.
Positions (direct):
Be (0.3481, 0.3481, 0.3039)  4 Rh 2.22
Be (0.6519, 0.6519, 0.6961)  4 Rh 2.22
Rh (0.7500, 0.2500, 0.5000)  4 Be 2.22
Rh (0.2500, 0.7500, 0.5000)  4 Be 2.22
Hg (0.0000, 0.0000, 0.0000)  10 Be 2.90-3.18, 8 Rh 2.93

***

#two
This record from Alexandria via LeMat-Bulk describes crystalline Be2HgRh2 at its relaxed geometry. The functional is GGA-PBE.

Summary:
Space group: P4/mbm

a = 6.5477 Å, b = 6.5477 Å, c = 2.9754 Å
α = 90.00°, β = 90.00°, γ = 90.00°
Last column: nearest neighbours and their distance in Å.
Positions (direct):
Be (0.3768, 0.8768, 0.0000)  1 Be 2.28, 6 Rh 2.38-2.51
Be (0.8768, 0.6232, 0.0000)  1 Be 2.28, 6 Rh 2.38-2.51
Be (0.6232, 0.1232, 0.0000)  1 Be 2.28, 6 Rh 2.38-2.51
Be (0.1232, 0.3768, 0.0000)  1 Be 2.28, 6 Rh 2.38-2.51
Rh (0.1584, 0.6584, 0.5000)  6 Be 2.38-2.51
Rh (0.6584, 0.8416, 0.5000)  6 Be 2.38-2.51
Rh (0.8416, 0.3416, 0.5000)  6 Be 2.38-2.51
Rh (0.3416, 0.1584, 0.5000)  6 Be 2.38-2.51
Hg (0.0000, 0.0000, 0.0000)  4 Be 2.60, 8 Rh 2.88
Hg (0.5000, 0.5000, 0.0000)  4 Be 2.60, 8 Rh 2.88

***

#three
This record from Alexandria via LeMat-Bulk describes crystalline Be2HgRh2 at its relaxed geometry. The functional is GGA-PBE.

Summary:
Space group: P4/mbm

a = 6.8575 Å, b = 6.8575 Å, c = 2.8823 Å
α = 90.00°, β = 90.00°, γ = 90.00°
Last column: nearest neighbours and their distance in Å.
Positions (direct):
Be (0.1405, 0.6405, 0.5000)  6 Rh 2.42-2.55
Be (0.6405, 0.8595, 0.5000)  6 Rh 2.42-2.55
Be (0.8595, 0.3595, 0.5000)  6 Rh 2.42-2.55
Be (0.3595, 0.1405, 0.5000)  6 Rh 2.42-2.55
Rh (0.3577, 0.8577, 0.0000)  6 Be 2.42-2.55, 2 Hg 2.64
Rh (0.8577, 0.6423, 0.0000)  6 Be 2.42-2.55, 2 Hg 2.64
Rh (0.6423, 0.1423, 0.0000)  6 Be 2.42-2.55, 2 Hg 2.64
Rh (0.1423, 0.3577, 0.0000)  6 Be 2.42-2.55, 2 Hg 2.64
Hg (0.0000, 0.0000, 0.0000)  4 Rh 2.64, 2 Hg 2.88
Hg (0.5000, 0.5000, 0.0000)  4 Rh 2.64, 2 Hg 2.88

***

Calculated relative energies: #one 22.3; #two 0.0; #three 15.7, given in kJ/mol of atoms